The following is a PBE-GGA calculation of an optimized crystal structure of ThMnAl11, from Alexandria via LeMat-Bulk.

Cell lengths 6.8412, 6.8412, 7.1316 Å; angles 97.87, 97.87, 135.11 degrees
Positions (direct):
Th  0.0000  0.0000  0.0000
Mn  0.5000  0.5000  0.5000
Al  0.0000  0.0000  0.5000
Al  0.0000  0.5000  0.0000
Al  0.0256  0.3690  0.3630
Al  0.2855  0.5007  0.7705
Al  0.3690  0.0256  0.3630
Al  0.4993  0.7145  0.2295
Al  0.5000  0.0000  0.0000
Al  0.5007  0.2855  0.7705
Al  0.6310  0.9744  0.6370
Al  0.7145  0.4993  0.2295
Al  0.9744  0.6310  0.6370

Results
* magnetization: 0.009 μB per cell
* final energy: -60.20 eV per cell
* crystal system: monoclinic